Record 1
# Cd4AsPd2

A relaxed structure of Cd4AsPd2 (GGA-PBE, the Alexandria database).

Cell: 4.4717 4.4717 26.6487 Å, 90.00 90.00 120.00°
Last column: nearest neighbours and their distance in Å.
Space group R-3m (No. 166, hexagonal axes)
Symmetry-distinct sites (fractional):
Cd (0.0000, 0.0000, 0.1147) x6  3 Pd 2.82, 3 As 2.93
Cd (0.0000, 0.0000, 0.3008) x6  4 Pd 2.79-2.80, 3 Cd 3.11
As (0.0000, 0.0000, 0.5000) x3  2 Pd 2.51
Pd (0.0000, 0.0000, 0.4059) x6  1 As 2.51, 4 Cd 2.79-2.80

Summary:
crystal system	trigonal
total energy	-2.8526	eV per atom
calculated formation energy	-1.3	eV per formula unit


Record 2
# K2U3OsO12

A relaxed structure of K2U3OsO12 (GGA-PBE, the Alexandria database).

Cell: 7.9055 7.9055 18.2741 Å, 90.00 90.00 120.00°
Last column: nearest neighbours and their distance in Å.
Space group R-3m (No. 166, hexagonal axes)
Symmetry-distinct sites (fractional):
K (0.0000, 0.0000, 0.1485) x6  9 O 3.27-3.58
U (0.0000, 0.5000, 0.0000) x9  6 O 2.04-2.13
Os (0.0000, 0.0000, 0.5000) x3  6 O 1.97
O (0.0817, 0.5409, 0.3626) x18  2 U 2.13
O (0.0956, 0.5478, 0.1058) x18  1 Os 1.97, 1 U 2.04

Summary:
crystal system	trigonal
total energy	-8.4688	eV per atom
uncorrected formation energy	-2536	meV per atom


Record 3
# La3Cd3Ir

A relaxed structure of La3Cd3Ir (GGA-PBE, the Alexandria database).

Cell: 14.7650 14.7650 14.7650 Å, 90.00 90.00 90.00°
Last column: nearest neighbours and their distance in Å.
Space group Fd-3m (No. 227, origin choice 2)
Symmetry-distinct sites (fractional):
La (0.0796, 0.3750, 0.3750) x48  2 Ir 2.86
Cd (0.0000, 0.0000, 0.5000) x16  6 Cd 3.16
Cd (0.0458, 0.0458, 0.7042) x32  6 Cd 3.16-3.31
Ir (0.0000, 0.0000, 0.0000) x16  6 La 2.86

Summary:
crystal system	cubic
total energy	-4.2698	eV per atom
calculated formation energy	-3.5	eV per formula unit


Record 4
# RbTcAuSe2

A relaxed structure of RbTcAuSe2 (GGA-PBE, the Alexandria database).

Cell: 5.8899 5.8899 5.5022 Å, 90.00 90.00 90.00°
Last column: nearest neighbours and their distance in Å.
Space group P4/mmm (No. 123)
Symmetry-distinct sites (fractional):
Rb (0.0000, 0.0000, 0.0000) x1  2 Tc 2.75, 4 Se 2.94
Tc (0.0000, 0.0000, 0.5000) x1  2 Rb 2.75
Au (0.5000, 0.5000, 0.5000) x1  8 Se 4.03, 4 Tc 4.16
Se (0.0000, 0.5000, 0.0000) x2  2 Rb 2.94

Summary:
crystal system	tetragonal
total energy	-2.3131	eV per atom
uncorrected formation energy	2003	meV per atom


Record 5
# Na3LiSb3

A relaxed structure of Na3LiSb3 (GGA-PBE, the Alexandria database).

Cell: 11.6511 4.8245 15.0153 Å, 90.00 109.83 90.00°
Last column: nearest neighbours and their distance in Å.
Space group C2/m (No. 12)
Symmetry-distinct sites (fractional):
Na (0.0239, 0.0000, 0.3813) x4  6 Sb 3.27-3.40, 4 Li 3.41-3.44
Na (0.0949, 0.0000, 0.9135) x4  7 Sb 3.30-3.46
Na (0.2429, 0.0000, 0.2265) x4  6 Sb 3.19-3.46
Li (0.2414, 0.5000, 0.4075) x4  4 Sb 2.81-2.86
Sb (0.0351, 0.5000, 0.2372) x4  1 Li 2.85, 1 Sb 2.86
Sb (0.1139, 0.5000, 0.0766) x4  2 Sb 2.86
Sb (0.1279, 0.5000, 0.5494) x4  3 Li 2.81-2.86, 1 Sb 2.84

Summary:
crystal system	monoclinic
total energy	-2.9851	eV per atom
uncorrected formation energy	-380	meV per atom


Record 6
# AsRh2Se

A relaxed structure of AsRh2Se (GGA-PBE, the Alexandria database).

Cell: 6.3004 6.3004 6.3004 Å, 90.00 90.00 90.00°
Last column: nearest neighbours and their distance in Å.
Space group Fm-3m (No. 225)
Symmetry-distinct sites (fractional):
As (0.0000, 0.0000, 0.0000) x4  8 Rh 2.73
Rh (0.2500, 0.2500, 0.2500) x8  4 As 2.73, 4 Se 2.73
Se (0.0000, 0.0000, 0.5000) x4  8 Rh 2.73

Summary:
crystal system	cubic
energy relative to the lowest polymorph listed for this composition	321	meV/atom
total energy	-5.7613	eV per atom
uncorrected formation energy	-52	meV per atom


Record 7
# SrTcNiSbH

A relaxed structure of SrTcNiSbH (GGA-PBE, the Alexandria database).

Cell: 3.3549 3.4574 7.2594 Å, 90.00 90.00 90.00°
Last column: nearest neighbours and their distance in Å.
Space group Pmm2 (No. 25)
Symmetry-distinct sites (fractional):
Sr (0.0000, 0.0000, 0.0000) x1  2 H 2.64
Tc (0.0000, 0.0000, 0.5342) x1  2 H 2.15
Ni (0.5000, 0.5000, 0.7179) x1  2 H 1.73
Sb (0.5000, 0.5000, 0.3446) x1  1 Ni 2.71, 4 Tc 2.77
H (0.5000, 0.0000, 0.7184) x1  2 Ni 1.73

Summary:
crystal system	orthorhombic
energy relative to the lowest polymorph listed for this composition	188	meV/atom
total energy	-5.0943	eV per atom


Record 8
# Na2LiAsH

A relaxed structure of Na2LiAsH (GGA-PBE, the Alexandria database).

Cell: 4.9471 4.9471 3.5391 Å, 90.00 90.00 90.00°
Last column: nearest neighbours and their distance in Å.
Space group P4/mmm (No. 123)
Symmetry-distinct sites (fractional):
Na (0.0000, 0.5000, 0.0000) x2  2 H 2.47
Li (0.0000, 0.0000, 0.5000) x1  2 H 1.77
As (0.5000, 0.5000, 0.5000) x1  8 Na 3.04
H (0.0000, 0.0000, 0.0000) x1  2 Li 1.77

Summary:
crystal system	tetragonal
total energy	-2.8109	eV per atom


Record 9
# ScTa2Fe

A relaxed structure of ScTa2Fe (GGA-PBE, the Alexandria database).

Cell: 3.0644 3.0644 7.3560 Å, 90.00 90.00 90.00°
Last column: nearest neighbours and their distance in Å.
Space group P4/mmm (No. 123)
Symmetry-distinct sites (fractional):
Sc (0.0000, 0.0000, 0.0000) x1  8 Ta 3.06, 4 Sc 3.06
Ta (0.5000, 0.5000, 0.2935) x2  4 Fe 2.65
Fe (0.0000, 0.0000, 0.5000) x1  8 Ta 2.65

Summary:
crystal system	tetragonal
energy relative to the lowest polymorph listed for this composition	88	meV/atom
total energy	-9.5415	eV per atom
calculated formation energy	0.3	eV per formula unit


Record 10
# CaSc3P

A relaxed structure of CaSc3P (GGA-PBE, the Alexandria database).

Cell: 5.0330 5.0330 5.0330 Å, 90.00 90.00 90.00°
Last column: nearest neighbours and their distance in Å.
Space group Pm-3m (No. 221)
Symmetry-distinct sites (fractional):
Ca (0.0000, 0.0000, 0.0000) x1  6 Sc 2.52
Sc (0.0000, 0.0000, 0.5000) x3  2 Ca 2.52
P (0.5000, 0.5000, 0.5000) x1  12 Sc 3.56

Summary:
crystal system	cubic
energy relative to the lowest polymorph listed for this composition	1718	meV/atom
total energy	-3.9751	eV per atom
calculated formation energy	6.5	eV per formula unit


Record 11
# V3MoRu

A relaxed structure of V3MoRu (GGA-PBE, the Alexandria database).

Cell: 8.8327 6.4159 5.2037 Å, 90.00 90.00 90.00°
Last column: nearest neighbours and their distance in Å.
Space group Pnna (No. 52)
Symmetry-distinct sites (fractional):
V (0.0669, 0.2500, 0.2500) x4  2 V 2.53, 2 Mo 2.60, 2 Ru 2.61
V (0.1600, 0.6222, 0.9997) x8  1 V 2.23
Mo (0.0641, 0.2500, 0.7500) x4  4 V 2.51-2.60, 2 Ru 2.66
Ru (0.2500, 0.0000, 0.0067) x4  6 V 2.55-2.80, 2 Mo 2.66

Summary:
crystal system	orthorhombic
energy relative to the lowest polymorph listed for this composition	220	meV/atom
total energy	-9.2570	eV per atom
calculated formation energy	1.2	eV per formula unit


Record 12
# Ag6GeSO8

A relaxed structure of Ag6GeSO8 (GGA-PBE, the Alexandria database).

Cell: 7.0997 7.0997 18.5873 Å, 90.00 90.00 90.00°
Last column: nearest neighbours and their distance in Å.
Space group I4_1/amd (No. 141, origin choice 2)
Symmetry-distinct sites (fractional):
Ag (0.0000, 0.2500, 0.1088) x8  4 O 2.45-2.60
Ag (0.2086, 0.0000, 0.0000) x16  2 O 2.21
Ge (0.0000, 0.2500, 0.8750) x4  4 O 1.79
S (0.0000, 0.2500, 0.3750) x4  4 O 1.50
O (0.0000, 0.0422, 0.8207) x16  1 Ge 1.79
O (0.0000, 0.0774, 0.4214) x16  1 S 1.50

Summary:
crystal system	tetragonal
total energy	-4.8260	eV per atom
uncorrected formation energy	-731	meV per atom


Record 13
# CdSiAg2

A relaxed structure of CdSiAg2 (GGA-PBE, the Alexandria database).

Cell: 6.6593 6.6593 6.6593 Å, 90.00 90.00 90.00°
Last column: nearest neighbours and their distance in Å.
Space group Fm-3m (No. 225)
Symmetry-distinct sites (fractional):
Cd (0.0000, 0.0000, 0.0000) x4  8 Ag 2.88
Si (0.0000, 0.0000, 0.5000) x4  8 Ag 2.88
Ag (0.2500, 0.2500, 0.2500) x8  4 Cd 2.88, 4 Si 2.88

Summary:
crystal system	cubic
energy relative to the lowest polymorph listed for this composition	136	meV/atom
total energy	-2.7509	eV per atom
uncorrected formation energy	259	meV per atom


Record 14
# RbTl2CuCl8

A relaxed structure of RbTl2CuCl8 (GGA-PBE, the Alexandria database).

Cell: 6.5431 6.5431 30.5626 Å, 90.00 90.00 120.00°
Last column: nearest neighbours and their distance in Å.
Space group R32 (No. 155, hexagonal axes)
Symmetry-distinct sites (fractional):
Rb (0.0000, 0.0000, 0.0000) x3  12 Cl 3.79-4.06
Tl (0.0000, 0.0000, 0.2431) x6  4 Cl 2.50
Cu (0.0000, 0.0000, 0.5000) x3  6 Cl 2.58
Cl (0.0000, 0.0000, 0.3250) x6  1 Tl 2.50
Cl (0.0228, 0.3104, 0.5550) x18  1 Tl 2.50, 1 Cu 2.58

Summary:
crystal system	trigonal
total energy	-2.8452	eV per atom
uncorrected formation energy	-798	meV per atom


Record 15
# MgCo2As

A relaxed structure of MgCo2As (GGA-PBE, the Alexandria database).

Cell: 5.8594 5.8594 5.8594 Å, 90.00 90.00 90.00°
Last column: nearest neighbours and their distance in Å.
Space group Fm-3m (No. 225)
Symmetry-distinct sites (fractional):
Mg (0.0000, 0.0000, 0.0000) x4  8 Co 2.54
Co (0.2500, 0.2500, 0.2500) x8  4 Mg 2.54, 4 As 2.54
As (0.0000, 0.0000, 0.5000) x4  8 Co 2.54

Summary:
crystal system	cubic
total energy	-5.1826	eV per atom
calculated formation energy	-0.3	eV per formula unit


Record 16
# BeBP

A relaxed structure of BeBP (GGA-PBE, the Alexandria database).

Cell: 3.0616 3.0616 4.2136 Å, 90.00 90.00 120.00°
Last column: nearest neighbours and their distance in Å.
Space group P3m1 (No. 156)
Symmetry-distinct sites (fractional):
Be (0.0000, 0.0000, 0.0000) x1  2 P 2.07-2.15, 3 B 2.15
B (0.6667, 0.3333, 0.2889) x1  3 P 1.96, 3 Be 2.15
P (0.0000, 0.0000, 0.4908) x1  3 B 1.96, 2 Be 2.07-2.15

Summary:
crystal system	trigonal
energy relative to the lowest polymorph listed for this composition	65	meV/atom
total energy	-5.2045	eV per atom
calculated formation energy	0.2	eV per formula unit


Record 17
# NaSi2Pt6

A relaxed structure of NaSi2Pt6 (GGA-PBE, the Alexandria database).

Cell: 11.0905 11.0905 11.0905 Å, 90.00 90.00 90.00°
Last column: nearest neighbours and their distance in Å.
Space group Fd-3m (No. 227, origin choice 2)
Symmetry-distinct sites (fractional):
Na (0.1250, 0.1250, 0.1250) x8  6 Pt 2.85
Si (0.0000, 0.0000, 0.5000) x16  6 Pt 2.36
Pt (0.1179, 0.3750, 0.8750) x48  2 Si 2.36

Summary:
crystal system	cubic
total energy	-5.6938	eV per atom
uncorrected formation energy	-315	meV per atom


Record 18
# LiMoBr2

A relaxed structure of LiMoBr2 (GGA-PBE, the Alexandria database).

Cell: 3.3289 3.3289 27.3384 Å, 90.00 90.00 120.00°
Last column: nearest neighbours and their distance in Å.
Space group R3m (No. 160, hexagonal axes)
Symmetry-distinct sites (fractional):
Li (0.0000, 0.0000, 0.0000) x3  3 Br 2.43
Mo (0.0000, 0.0000, 0.2355) x3  3 Br 2.52
Br (0.0000, 0.0000, 0.5092) x3  3 Mo 2.52
Br (0.0000, 0.0000, 0.7212) x3  3 Li 2.43

Summary:
crystal system	trigonal
energy relative to the lowest polymorph listed for this composition	79	meV/atom
total energy	-4.0559	eV per atom
uncorrected formation energy	-33	meV per atom


Record 19
# Y2FeAu

A relaxed structure of Y2FeAu (GGA-PBE, the Alexandria database).

Cell: 3.4703 3.5020 7.1146 Å, 90.00 90.00 90.00°
Last column: nearest neighbours and their distance in Å.
Space group Pmmm (No. 47)
Symmetry-distinct sites (fractional):
Y (0.0000, 0.0000, 0.2328) x2  4 Fe 2.97, 4 Au 3.11, 1 Y 3.31
Fe (0.5000, 0.5000, 0.0000) x1  8 Y 2.97
Au (0.5000, 0.5000, 0.5000) x1  8 Y 3.11, 2 Au 3.47

Summary:
crystal system	orthorhombic
total energy	-6.5138	eV per atom
calculated formation energy	-1.4	eV per formula unit


Record 20
# Dy2ErHg4

A relaxed structure of Dy2ErHg4 (GGA-PBE, the Alexandria database).

Cell: 5.5797 5.5797 15.2853 Å, 90.00 90.00 90.00°
Last column: nearest neighbours and their distance in Å.
Space group I4/mmm (No. 139)
Symmetry-distinct sites (fractional):
Dy (0.0000, 0.0000, 0.1030) x4  5 Hg 3.05-3.20, 1 Dy 3.15
Er (0.0000, 0.0000, 0.5000) x2  6 Hg 2.79-3.02
Hg (0.0000, 0.0000, 0.3023) x4  1 Er 3.02, 1 Dy 3.05
Hg (0.0000, 0.5000, 0.0000) x4  2 Er 2.79

Summary:
crystal system	tetragonal
energy relative to the lowest polymorph listed for this composition	368	meV/atom
total energy	-2.1108	eV per atom
calculated formation energy	0.2	eV per formula unit


Record 21
# Nd4Ge2Sb

A relaxed structure of Nd4Ge2Sb (GGA-PBE, the Alexandria database).

Cell: 9.6928 9.6928 9.5951 Å, 90.00 90.00 90.00°
Last column: nearest neighbours and their distance in Å.
Space group I4_1/amd (No. 141, origin choice 2)
Symmetry-distinct sites (fractional):
Nd (0.0000, 0.0680, 0.2044) x16  3 Ge 2.91-3.03, 1 Sb 3.17
Ge (0.0000, 0.0000, 0.5000) x8  6 Nd 2.91-3.03
Sb (0.0000, 0.2500, 0.8750) x4  4 Nd 3.17

Summary:
crystal system	tetragonal
energy relative to the lowest polymorph listed for this composition	155	meV/atom
total energy	-5.3700	eV per atom
uncorrected formation energy	-737	meV per atom


Record 22
# NaSrZr3

A relaxed structure of NaSrZr3 (GGA-PBE, the Alexandria database).

Cell: 5.2801 5.2801 5.2801 Å, 90.00 90.00 90.00°
Last column: nearest neighbours and their distance in Å.
Space group Pm-3m (No. 221)
Symmetry-distinct sites (fractional):
Na (0.0000, 0.0000, 0.0000) x1  6 Zr 2.64
Sr (0.5000, 0.5000, 0.5000) x1  12 Zr 3.73
Zr (0.0000, 0.0000, 0.5000) x3  2 Na 2.64

Summary:
crystal system	cubic
energy relative to the lowest polymorph listed for this composition	0	meV/atom
total energy	-4.4385	eV per atom
calculated formation energy	6.5	eV per formula unit


no.,density (g cm⁻³)
1,8.0
2,5.9
3,7.8
4,4.7
5,3.7
6,9.6
7,7.2
8,2.5
9,11.1
10,2.7
11,7.9
12,6.2
13,8.0
14,3.7
15,7.2
16,2.5
17,12.2
18,5.0
19,8.3
20,9.0
21,6.2
22,4.3